[1]
DFT (PBE) results for a relaxed structure of MnCd2Mo.

It has space group P2/m (No. 10), with a = 2.8051 Å, b = 4.3711 Å, c = 5.7542 Å, α = 90.00°, β = 90.38° and γ = 90.00°. The inequivalent atoms are Mn at (0.0000, 0.0000, 0.0000), Cd at (0.4989, 0.5000, 0.2472) and Mo at (0.0000, 0.0000, 0.5000).

=====

[2]
DFT (PBE) results for a relaxed structure of MnCdMo.

It has space group Fmm2 (No. 42), with a = 3.2886 Å, b = 4.5010 Å, c = 13.3863 Å, α = 90.00°, β = 90.00° and γ = 90.00°. The inequivalent atoms are Mn at (0.0000, 0.0000, 0.0000), Cd at (0.0000, 0.0000, 0.6741) and Mo at (0.0000, 0.0000, 0.3595).

=====

[3]
DFT (PBE) results for a relaxed structure of MnCd2Mo.

It has space group Imm2 (No. 44), with a = 3.1238 Å, b = 4.8522 Å, c = 9.3254 Å, α = 90.00°, β = 90.00° and γ = 90.00°. The inequivalent atoms are Mn at (0.0000, 0.0000, 0.0000), Cd at (0.0000, 0.0000, 0.4652), Cd at (0.0000, 0.5000, 0.2398) and Mo at (0.0000, 0.5000, 0.6866).

=====

Respective ΔH_f (0 K) values: 0.46; 0.34; 0.42 eV/atom.